a:
A relaxed TaGePb3 crystal. Source: the Alexandria database, functional PBE-GGA.

Cell lengths 5.5136, 5.5136, 5.5136 Å; angles 90.00, 90.00, 90.00 degrees
With the nearest neighbours (Å) after each atom.
Fractional positions:
Pb1 0.0000 0.0000 0.5000  2 Ta 2.76
Ta1 0.0000 0.0000 0.0000  6 Pb 2.76
Pb2 0.5000 0.0000 0.0000  2 Ta 2.76
Ge1 0.5000 0.5000 0.5000  12 Pb 3.90
Pb3 0.0000 0.5000 0.0000  2 Ta 2.76

***

b:
A relaxed TaGePb3 crystal. Source: the Alexandria database, functional PBE-GGA.

Cell lengths 5.4109, 5.4109, 5.4109 Å; angles 90.00, 90.00, 90.00 degrees
With the nearest neighbours (Å) after each atom.
Fractional positions:
Pb1 0.5000 0.0000 0.0000  2 Ge 2.71
Ge1 0.0000 0.0000 0.0000  6 Pb 2.71
Ta1 0.5000 0.5000 0.5000  12 Pb 3.83
Pb2 0.0000 0.5000 0.0000  2 Ge 2.71
Pb3 0.0000 0.0000 0.5000  2 Ge 2.71

***

Energies in eV/atom, measured from the most stable structure: a 0.000; b 0.548.